[1]
Below is a relaxed MnAsP2 crystal, with properties calculated at the PBE level.

Cell lengths 4.085, 4.085, 5.485 Å; angles 97.68, 97.68, 46.33 degrees
Fractional coordinates of all 4 atoms:
Mn 0.000 0.000 0.000
As 0.286 0.286 0.716
P 0.531 0.531 0.325
P 0.717 0.717 0.062

## Properties
As for the formation energy: 0.020 eV/atom.


[2]
Below is a relaxed ZnIr4 crystal, with properties calculated at the PBE level.

Cell lengths 4.441, 4.441, 4.441 Å; angles 90.00, 90.00, 90.00 degrees
Fractional coordinates of all 5 atoms:
Zn 0.000 0.000 0.000
Ir 0.000 0.000 0.500
Ir 0.000 0.500 0.000
Ir 0.500 0.000 0.000
Ir 0.500 0.500 0.500

## Properties
As for the formation energy: 1.829 eV/atom. Its offset from the most stable computed form is 1.871 eV/atom.


[3]
Below is a relaxed LiPrBi2 crystal, with properties calculated at the PBE level.

Cell lengths 5.085, 5.085, 4.439 Å; angles 90.00, 90.00, 90.00 degrees
Fractional coordinates of all 4 atoms:
Li 0.000 0.000 0.000
Pr 0.500 0.500 0.000
Bi 0.000 0.500 0.500
Bi 0.500 0.000 0.500

## Properties
As for the formation energy: -0.582 eV/atom. Its offset from the most stable computed form is 0.112 eV/atom.


[4]
Below is a relaxed La4ZrTa crystal, with properties calculated at the PBE level.

Cell lengths 6.317, 6.317, 6.317 Å; angles 60.00, 60.00, 60.00 degrees
Fractional coordinates of all 6 atoms:
La 0.125 0.125 0.125
La 0.125 0.125 0.626
La 0.125 0.626 0.125
La 0.626 0.125 0.125
Zr 0.500 0.500 0.500
Ta 0.750 0.750 0.750

## Properties
As for the formation energy: 0.839 eV/atom.


[5]
Below is a relaxed Sm5TmTl crystal, with properties calculated at the PBE level.

Cell lengths 4.787, 4.787, 10.390 Å; angles 90.00, 90.00, 90.00 degrees
Fractional coordinates of all 7 atoms:
Sm 0.000 0.000 0.000
Sm 0.000 0.500 0.245
Sm 0.000 0.500 0.755
Sm 0.500 0.000 0.245
Sm 0.500 0.000 0.755
Tm 0.500 0.500 0.500
Tl 0.500 0.500 0.000

## Properties
As for the formation energy: 0.179 eV/atom.


[6]
Below is a relaxed YAgBr crystal, with properties calculated at the PBE level.

Cell lengths 14.731, 3.707, 3.707 Å; angles 60.04, 90.00, 90.00 degrees
Fractional coordinates of all 6 atoms:
Y 0.146 0.000 0.000
Y 0.854 0.000 0.000
Ag 0.000 0.333 0.333
Ag 0.500 0.343 0.343
Br 0.281 0.334 0.334
Br 0.719 0.334 0.334

## Properties
Its offset from the most stable computed form is 0.258 eV/atom. The uncorrected formation energy comes out at -13.63 kcal/mol of atoms.


[7]
Below is a relaxed Mg4FeW crystal, with properties calculated at the PBE level.

Cell lengths 5.347, 5.347, 5.347 Å; angles 60.00, 60.00, 60.00 degrees
Fractional coordinates of all 6 atoms:
Mg 0.124 0.124 0.124
Mg 0.124 0.124 0.627
Mg 0.124 0.627 0.124
Mg 0.627 0.124 0.124
Fe 0.500 0.500 0.500
W 0.750 0.750 0.750

## Properties
As for the formation energy: 0.817 eV/atom.


[8]
Below is a relaxed Ca2TcBr crystal, with properties calculated at the PBE level.

Cell lengths 3.455, 3.455, 9.574 Å; angles 90.00, 90.00, 90.00 degrees
Fractional coordinates of all 4 atoms:
Ca 0.000 0.000 0.000
Ca 0.500 0.500 0.347
Tc 0.000 0.000 0.548
Br 0.500 0.500 0.822

## Properties
Its offset from the most stable computed form is 0.480 eV/atom. The uncorrected formation energy comes out at 5.37 kcal/mol of atoms.


[9]
Below is a relaxed Cu2Sb2Pb crystal, with properties calculated at the PBE level.

Cell lengths 8.073, 8.073, 3.320 Å; angles 90.00, 90.00, 90.00 degrees
Fractional coordinates of all 10 atoms:
Cu 0.118 0.382 0.000
Cu 0.382 0.882 0.000
Cu 0.618 0.118 0.000
Cu 0.882 0.618 0.000
Sb 0.168 0.668 0.500
Sb 0.332 0.168 0.500
Sb 0.668 0.832 0.500
Sb 0.832 0.332 0.500
Pb 0.000 0.000 0.000
Pb 0.500 0.500 0.000

## Properties
Its offset from the most stable computed form is 0.048 eV/atom. The uncorrected formation energy comes out at 4.26 kcal/mol of atoms.


[10]
Below is a relaxed Y2InSe crystal, with properties calculated at the PBE level.

Cell lengths 6.638, 6.638, 6.638 Å; angles 106.30, 106.30, 116.02 degrees
Fractional coordinates of all 8 atoms:
Y 0.096 0.625 0.971
Y 0.375 0.346 0.471
Y 0.654 0.125 0.029
Y 0.875 0.904 0.529
In 0.250 0.750 0.500
In 0.500 0.500 0.000
Se 0.000 0.000 0.000
Se 0.750 0.250 0.500

## Properties
Its offset from the most stable computed form is 0.373 eV/atom. The uncorrected formation energy comes out at -17.62 kcal/mol of atoms.


[11]
Below is a relaxed BaTe2Ru crystal, with properties calculated at the PBE level.

Cell lengths 6.272, 6.272, 6.272 Å; angles 136.50, 136.50, 63.21 degrees
Fractional coordinates of all 4 atoms:
Ba 0.000 0.000 0.000
Te 0.500 0.500 0.000
Te 0.750 0.250 0.500
Ru 0.250 0.750 0.500

## Properties
Its offset from the most stable computed form is 0.822 eV/atom. The uncorrected formation energy comes out at 3.47 kcal/mol of atoms.


[12]
Below is a relaxed HfGeF2 crystal, with properties calculated at the PBE level.

Cell lengths 10.434, 10.434, 10.434 Å; angles 15.92, 15.92, 15.92 degrees
Fractional coordinates of all 4 atoms:
Hf 0.000 0.000 0.000
Ge 0.500 0.500 0.500
F 0.383 0.383 0.383
F 0.617 0.617 0.617

## Properties
Its offset from the most stable computed form is 0.044 eV/atom. The uncorrected formation energy comes out at -40.88 kcal/mol of atoms.


Number 1: spin magnetization 0.255 μB per atom. Number 2: spin magnetization 0.214 μB per atom. Number 3: spin magnetization 0.000 μB per atom. Number 4: spin magnetization 0.031 μB per atom. Number 5: spin magnetization 0.000 μB per atom. Number 6: spin magnetization 0.000 μB per atom. Number 7: spin magnetization 0.421 μB per atom. Number 8: spin magnetization 0.677 μB per atom. Number 9: spin magnetization 0.000 μB per atom. Number 10: spin magnetization 0.000 μB per atom. Number 11: spin magnetization 0.523 μB per atom. Number 12: spin magnetization 0.000 μB per atom.